Record 1
Entry from Alexandria: a relaxed Sm2Dy7Mg2 crystal (PBE).

Cell and atoms, written as extended XYZ:
```
11
Lattice="4.669 -4.696 0.000 4.669 4.696 0.000 -2.005 0.000 7.877" Properties=species:S:1:pos:R:3 pbc="T T T"
Sm 4.669 3.005 0.000
Sm 4.669 -3.005 0.000
Dy -1.003 0.000 3.939
Dy 2.286 1.920 2.557
Dy 0.928 0.000 7.646
Dy 5.047 1.920 5.320
Dy 2.286 -1.920 2.557
Dy 6.405 0.000 0.231
Dy 5.047 -1.920 5.320
Mg 2.472 0.000 5.100
Mg 4.861 0.000 2.777
```

Uncorrected energy   -3.934 eV/atom
Energy above the most stable polymorph in this dataset   6.8 kJ/mol of atoms
Formation energy   0.143 eV per atom

---

Record 2
Entry from Alexandria: a relaxed PmZrBi2 crystal (PBE).

Cell and atoms, written as extended XYZ:
```
4
Lattice="0.000 3.815 3.815 3.815 0.000 3.815 3.815 3.815 0.000" Properties=species:S:1:pos:R:3 pbc="T T T"
Pm 0.000 0.000 0.000
Zr 3.815 3.815 3.815
Bi 1.907 1.907 1.907
Bi 5.722 5.722 5.722
```

Uncorrected energy   -5.664 eV/atom
Energy above the most stable polymorph in this dataset   15.4 kJ/mol of atoms
Formation energy   -0.399 eV per atom

---

Record 3
Entry from Alexandria: a relaxed Gd2IO crystal (PBE).

Cell and atoms, written as extended XYZ:
```
4
Lattice="1.870 1.079 7.435 -1.870 1.079 7.435 0.000 -2.159 7.435" Properties=species:S:1:pos:R:3 pbc="T T T"
Gd 0.000 0.000 4.963
Gd 0.000 0.000 17.342
I 0.000 0.000 0.000
O 0.000 0.000 11.153
```

Uncorrected energy   -10.346 eV/atom

---

Record 4
Entry from Alexandria: a relaxed ZnSnRh2 crystal (PBE).

Cell and atoms, written as extended XYZ:
```
4
Lattice="-1.440 2.361 5.148 1.440 -2.361 5.148 1.440 2.361 -5.148" Properties=species:S:1:pos:R:3 pbc="T T T"
Zn 0.000 0.000 0.000
Sn 0.000 0.000 5.148
Rh 0.000 0.000 2.440
Rh 0.000 0.000 7.857
```

Uncorrected energy   -4.701 eV/atom
Formation energy   0.294 eV per atom

---

Record 5
Entry from Alexandria: a relaxed Sr2PmGe2 crystal (PBE).

Cell and atoms, written as extended XYZ:
```
10
Lattice="6.494 -2.473 0.000 6.494 2.473 0.000 -5.773 0.000 9.689" Properties=species:S:1:pos:R:3 pbc="T T T"
Sr -0.797 0.000 1.733
Sr -1.065 0.000 5.699
Sr 8.279 0.000 3.990
Sr 8.012 0.000 7.956
Pm 2.975 0.000 1.466
Pm 4.240 0.000 8.223
Ge -0.751 0.000 8.966
Ge 2.578 0.000 5.718
Ge 4.637 0.000 3.971
Ge 7.965 0.000 0.723
```

Uncorrected energy   -4.011 eV/atom
Formation energy   -0.541 eV per atom

---

Record 6
Entry from Alexandria: a relaxed CsCe2AgI8 crystal (PBE).

Cell and atoms, written as extended XYZ:
```
12
Lattice="8.731 0.000 0.000 4.238 8.170 0.000 1.889 -0.784 9.226" Properties=species:S:1:pos:R:3 pbc="T T T"
Cs 0.000 0.000 0.000
Ce 7.754 3.266 6.875
Ce 7.104 4.119 2.352
Ag 0.944 -0.392 4.613
I 4.391 5.763 3.043
I 4.987 4.335 7.396
I 8.362 5.649 4.855
I 5.517 2.233 0.280
I 9.340 5.153 8.947
I 6.495 1.736 4.371
I 9.870 3.051 1.831
I 10.466 1.623 6.183
```

Uncorrected energy   -3.492 eV/atom

---

Values for DOS at the Fermi energy, states/eV/f.u., ordered as above
15.261 3.713 3.484 4.863 1.147 15.981